A PBEsol-optimized structure of PbAu, computed with meta-GGA SCAN.

Geometry as extended XYZ:
```
4
Lattice="3.970 0.000 0.000 0.000 4.292 0.000 0.000 0.000 5.801" Properties=species:S:1:pos:R:3 pbc="T T T"
Au 2.977 0.000 0.000
Au 0.993 2.146 2.900
Pb 0.992 2.146 0.000
Pb 2.977 0.000 2.900
```

Computed properties:
Electronic total energy (eV/atom): -72.53
Fermi-level density of states (states/eV/f.u.): 0.81
Calculated density (g/cm3): 13.58

***

A PBEsol-optimized structure of Mg2BeCd, computed with meta-GGA SCAN.

Geometry as extended XYZ:
```
4
Lattice="-1.990 -2.058 1.107 1.488 0.006 2.686 -4.393 5.550 2.421" Properties=species:S:1:pos:R:3 pbc="T T T"
Cd -2.448 1.749 3.107
Be -0.251 -1.026 1.897
Mg -0.925 1.169 0.510
Mg -3.468 4.381 1.911
```

Computed properties:
Electronic total energy (eV/atom): -11.05
Fermi-level density of states (states/eV/f.u.): 1.20
Offset from the most stable computed form (meV/atom): 0
Calculated density (g/cm3): 4.00

***

A PBEsol-optimized structure of NaLiV2O6, computed with meta-GGA SCAN.

Geometry as extended XYZ:
```
40
Lattice="6.867 -0.087 0.015 0.809 6.832 0.010 3.060 2.680 10.876" Properties=species:S:1:pos:R:3 pbc="T T T"
Na 7.832 4.160 9.515
Na 6.345 2.925 4.112
Na 2.804 5.151 1.309
Na 2.476 7.237 4.099
O 1.672 2.630 4.763
O 6.911 3.033 1.680
O 3.465 2.866 2.563
O 6.794 5.570 5.570
O 4.923 4.401 0.238
O 4.272 3.684 5.233
O 3.197 4.029 10.073
O 8.615 4.274 7.212
O 3.808 6.502 9.077
O 6.111 8.535 9.758
O 6.147 2.186 6.538
O 7.472 5.525 0.759
O 5.666 5.129 2.951
O 3.555 1.959 7.373
O 5.723 5.149 10.657
O 7.263 6.343 8.400
O 8.708 8.750 8.949
O 2.273 5.018 3.692
O 4.562 0.850 0.966
O 9.185 6.820 6.429
O 1.978 0.593 1.775
O 5.064 4.317 7.963
O 7.070 7.506 3.508
O 4.699 7.130 4.771
V 7.526 7.728 9.507
V 6.297 4.534 1.381
V 6.048 6.388 4.178
V 4.390 5.004 9.461
V 2.881 3.553 4.108
V 4.741 2.990 6.818
V 3.157 1.650 1.295
V 7.991 5.758 6.874
Li 4.176 6.964 6.821
Li 4.025 8.529 9.473
Li 6.647 0.909 1.308
Li 8.241 2.238 6.866
```

Computed properties:
Electronic total energy (eV/atom): -10.42
Fermi-level density of states (states/eV/f.u.): 0.00
Offset from the most stable computed form (meV/atom): 5
Calculated density (g/cm3): 2.96

***

A PBEsol-optimized structure of CaMgV2O7, computed with meta-GGA SCAN.

Geometry as extended XYZ:
```
88
Lattice="6.723 0.017 0.000 -1.812 11.063 0.000 0.000 0.000 14.468" Properties=species:S:1:pos:R:3 pbc="T T T"
O 1.348 3.248 6.936
O 6.027 4.264 9.282
O 4.469 2.301 14.170
O 3.312 3.295 8.759
O 0.632 8.806 3.302
O 0.608 6.147 0.392
O 2.505 2.253 1.525
O 6.194 1.508 9.152
O 1.560 3.043 10.837
O 2.546 1.025 8.998
O 1.455 5.913 10.187
O -1.116 6.816 5.186
O 5.121 9.795 12.420
O 3.740 5.045 11.384
O 5.980 4.110 5.143
O -1.069 6.970 9.325
O 2.361 0.381 11.515
O 3.351 8.037 3.631
O -1.283 9.572 5.316
O 2.033 3.532 13.630
O -0.163 1.439 12.376
O 2.077 0.504 4.150
O 2.365 10.055 5.470
O 5.074 9.641 2.091
O 1.538 3.274 3.932
O 3.784 2.017 6.396
O -0.377 4.041 1.918
O 3.397 10.465 7.626
O 5.288 7.039 12.550
O -0.386 4.378 12.186
O 5.297 6.702 2.281
O 1.171 6.035 3.084
O 2.406 8.827 12.942
O 3.271 4.523 1.764
O -1.292 9.910 9.515
O 3.456 5.167 4.281
O 4.281 5.133 6.960
O -0.210 1.285 2.048
O 1.536 0.416 14.194
O 3.563 7.832 7.531
O 4.279 2.274 11.166
O 3.375 10.664 0.274
O 2.550 10.699 2.953
O 1.127 9.063 8.071
O 2.834 10.576 10.318
O 0.654 8.575 10.864
O 3.373 7.806 10.536
O 4.257 2.505 3.603
O 1.514 0.615 6.842
O 0.630 5.947 7.508
O 1.599 7.785 5.708
O 1.640 6.557 12.704
O 4.303 4.933 14.075
O 2.878 7.548 0.838
O 0.442 8.779 0.298
O 6.203 1.170 4.952
V 2.455 2.094 7.418
V -0.042 5.710 1.943
V 3.363 3.454 0.184
V 2.886 3.237 2.934
V 3.885 10.870 1.867
V 1.027 0.210 12.601
V 0.865 0.179 5.291
V 2.457 8.986 7.050
V 2.931 2.312 10.168
V 2.025 7.843 11.533
V 4.047 10.901 9.177
V 4.791 5.338 5.367
V 1.980 8.768 4.300
V 0.121 5.742 9.101
V 4.953 5.370 12.525
V 1.549 7.626 14.284
Ca 4.792 8.574 14.362
Ca 4.481 0.314 12.598
Ca -0.787 8.037 7.128
Ca 1.336 5.234 5.364
Ca 0.430 10.765 1.870
Ca 0.119 2.506 0.106
Ca 5.698 3.043 7.340
Ca 3.575 5.846 9.103
Mg 0.760 10.247 9.754
Mg -1.317 8.265 3.678
Mg 5.322 8.347 10.912
Mg 6.228 2.815 10.790
Mg 4.151 0.832 4.713
Mg -0.411 2.733 3.556
Mg 1.666 4.716 11.947
Mg 3.245 6.364 2.521
```

Computed properties:
Electronic total energy (eV/atom): -11.39
Fermi-level density of states (states/eV/f.u.): 0.00
Calculated density (g/cm3): 3.43

***

A PBEsol-optimized structure of Li3GeSe, computed with meta-GGA SCAN.

Geometry as extended XYZ:
```
5
Lattice="4.690 0.000 0.000 0.000 4.690 0.000 0.000 0.000 4.690" Properties=species:S:1:pos:R:3 pbc="T T T"
Ge 2.345 2.345 2.345
Li 0.000 2.345 0.000
Li 0.000 0.000 2.345
Li 2.345 0.000 0.000
Se 0.000 0.000 0.000
```

Computed properties:
Electronic total energy (eV/atom): -9.64
Fermi-level density of states (states/eV/f.u.): 2.47
Calculated density (g/cm3): 2.78

***

A PBEsol-optimized structure of K3Al4P2O8F9, computed with meta-GGA SCAN.

Geometry as extended XYZ:
```
52
Lattice="-6.316 -2.121 -1.049 4.024 -6.020 0.839 -2.381 0.317 13.698" Properties=species:S:1:pos:R:3 pbc="T T T"
O -3.527 -5.909 13.615
O -4.410 -1.979 11.278
O -1.969 -1.379 11.629
O -0.263 -5.844 2.209
O -1.513 -1.439 9.009
O -2.080 -3.742 8.244
O -2.593 -4.081 5.244
O -1.146 -1.914 -0.127
O -3.935 -2.042 8.542
O -0.739 -5.781 4.945
O -1.895 -4.174 1.227
O -2.327 -1.757 6.668
O -2.705 -6.444 1.858
O -2.779 -3.649 12.261
O -3.160 -6.384 4.478
O -2.346 -6.066 6.819
F -3.198 -1.779 4.268
F 1.603 -5.567 3.937
F -4.219 -6.953 11.341
F 0.646 -3.029 1.479
F -5.165 -1.934 2.677
F -1.898 -5.988 11.651
F -1.054 -2.961 3.415
F -0.454 -0.871 2.147
F -5.319 -4.794 12.008
F -2.775 -1.835 1.836
F -6.277 -2.257 9.550
F -0.901 -0.811 4.716
F -0.107 -2.929 5.812
F -3.772 -7.012 8.771
F -4.566 -4.894 7.676
F -1.475 -6.045 9.219
F -3.619 -4.863 10.073
F 0.492 -5.890 10.811
P -3.183 -2.169 12.181
P -1.491 -5.654 1.307
P -2.197 -5.560 5.371
P -2.476 -2.263 8.116
K -4.576 -4.641 2.842
K -0.097 -3.182 10.646
K 0.856 -4.994 7.145
K -6.659 -2.679 12.844
K -5.529 -2.829 6.343
K 1.986 -5.144 0.643
Al -4.895 -1.090 9.763
Al -2.927 -7.688 3.199
Al -1.074 -2.569 1.599
Al -1.747 -0.135 10.289
Al -3.600 -5.254 11.888
Al 0.221 -6.734 3.724
Al -2.991 -5.335 8.389
Al -1.682 -2.488 5.098
```

Computed properties:
Electronic total energy (eV/atom): -9.40
Fermi-level density of states (states/eV/f.u.): 0.00
Calculated density (g/cm3): 2.96

***

A PBEsol-optimized structure of CrBr4, computed with meta-GGA SCAN.

Geometry as extended XYZ:
```
5
Lattice="5.496 0.000 0.000 -1.832 5.181 0.000 -1.832 -2.591 4.487" Properties=species:S:1:pos:R:3 pbc="T T T"
Br -0.916 -1.295 2.244
Br -0.916 2.591 0.000
Br 2.748 0.000 0.000
Br 0.916 1.295 2.244
Cr 0.000 0.000 0.000
```

Computed properties:
Electronic total energy (eV/atom): -19.36
Fermi-level density of states (states/eV/f.u.): 4.18
Calculated density (g/cm3): 4.83

***

A PBEsol-optimized structure of LaZr4Zn, computed with meta-GGA SCAN.

Geometry as extended XYZ:
```
6
Lattice="5.834 0.000 0.000 2.917 5.053 0.000 2.917 1.684 4.764" Properties=species:S:1:pos:R:3 pbc="T T T"
Zn 0.000 0.000 0.000
Zr 7.277 2.535 1.793
Zr 5.834 3.368 4.149
Zr 4.392 2.535 1.793
Zr 5.834 5.034 1.793
La 8.751 5.053 3.573
```

Computed properties:
Electronic total energy (eV/atom): -29.51
Fermi-level density of states (states/eV/f.u.): 7.59
Calculated density (g/cm3): 6.73

***

A PBEsol-optimized structure of SnPdN2, computed with meta-GGA SCAN.

Geometry as extended XYZ:
```
4
Lattice="-1.096 1.921 -2.249 -2.383 -0.931 -1.846 -5.201 2.721 2.647" Properties=species:S:1:pos:R:3 pbc="T T T"
Sn 0.000 0.000 0.000
Pd -4.340 1.855 -0.724
N -3.809 1.897 1.265
N -4.871 1.813 -2.713
```

Computed properties:
Electronic total energy (eV/atom): -21.10
Fermi-level density of states (states/eV/f.u.): 1.45
Calculated density (g/cm3): 7.90

***

A PBEsol-optimized structure of Al2HgSb2, computed with meta-GGA SCAN.

Geometry as extended XYZ:
```
10
Lattice="3.431 0.000 0.000 0.000 8.207 0.000 0.000 0.000 8.207" Properties=species:S:1:pos:R:3 pbc="T T T"
Al 1.715 7.098 2.995
Al 1.715 5.213 7.098
Al 1.715 2.995 1.109
Al 1.715 1.109 5.213
Hg 0.000 4.104 4.104
Hg 0.000 0.000 0.000
Sb 0.000 5.412 1.308
Sb 0.000 2.796 6.899
Sb 0.000 1.308 2.796
Sb 0.000 6.899 5.412
```

Computed properties:
Electronic total energy (eV/atom): -31.43
Fermi-level density of states (states/eV/f.u.): 1.82
Calculated density (g/cm3): 7.16

***

A PBEsol-optimized structure of CaAgIr, computed with meta-GGA SCAN.

Geometry as extended XYZ:
```
3
Lattice="-1.065 -0.983 -2.589 2.525 -1.116 1.085 -3.676 -5.001 3.411" Properties=species:S:1:pos:R:3 pbc="T T T"
Ca -1.052 -4.311 2.070
Ag -0.054 -0.073 0.050
Ir -1.109 -2.716 -0.212
```

Computed properties:
Electronic total energy (eV/atom): -37.05
Fermi-level density of states (states/eV/f.u.): 1.31
Offset from the most stable computed form (meV/atom): 23
Calculated density (g/cm3): 10.46

***

A PBEsol-optimized structure of AsIr2PbI, computed with meta-GGA SCAN.

Geometry as extended XYZ:
```
5
Lattice="-2.665 -1.327 3.778 3.593 -2.797 1.552 2.143 4.460 3.078" Properties=species:S:1:pos:R:3 pbc="T T T"
Ir -1.333 -0.664 1.889
Ir 1.796 -1.399 0.776
Pb 1.071 2.230 1.539
I 0.000 0.000 0.000
As 1.535 0.168 4.204
```

Computed properties:
Electronic total energy (eV/atom): -53.04
Fermi-level density of states (states/eV/f.u.): 8.53
Calculated density (g/cm3): 9.77